Entry w
# PaC PBE relaxed
data_PaC
_chemical_formula_sum 'Pa1 C1'
_cell_length_a 3.5917
_cell_length_b 3.5917
_cell_length_c 3.5917
_cell_angle_alpha 60.00
_cell_angle_beta 60.00
_cell_angle_gamma 60.00
_symmetry_space_group_name_H-M 'P 1'
_symmetry_Int_Tables_number 1
_symmetry_space_group_name_Hall 'P 1'
loop_
_atom_site_label
_atom_site_type_symbol
_atom_site_fract_x
_atom_site_fract_y
_atom_site_fract_z
_atom_site_occupancy
Pa1 Pa 0.5000 0.5000 0.5000 1
C1 C 0.0000 0.0000 0.0000 1
# SG	No. 225
# crystal system	cubic
# theoretical density	12.32	g/cm³



Entry x
# PaC PBE relaxed
data_PaC
_chemical_formula_sum 'Pa1 C1'
_cell_length_a 3.8318
_cell_length_b 3.8318
_cell_length_c 3.8318
_cell_angle_alpha 60.00
_cell_angle_beta 60.00
_cell_angle_gamma 60.00
_symmetry_space_group_name_H-M 'P 1'
_symmetry_Int_Tables_number 1
_symmetry_space_group_name_Hall 'P 1'
loop_
_atom_site_label
_atom_site_type_symbol
_atom_site_fract_x
_atom_site_fract_y
_atom_site_fract_z
_atom_site_occupancy
C1 C 0.0000 0.0000 0.0000 1
Pa1 Pa 0.2500 0.2500 0.2500 1
# SG	No. 216
# crystal system	cubic
# theoretical density	10.15	g/cm³



Which is most stable? The ranking, best first, is entry w, entry x.



Entry w
# Pd2C PBE relaxed
data_Pd2C
_chemical_formula_sum 'Pd2 C1'
_cell_length_a 3.7867
_cell_length_b 3.7867
_cell_length_c 3.7867
_cell_angle_alpha 60.00
_cell_angle_beta 60.00
_cell_angle_gamma 60.00
_symmetry_space_group_name_H-M 'P 1'
_symmetry_Int_Tables_number 1
_symmetry_space_group_name_Hall 'P 1'
loop_
_atom_site_label
_atom_site_type_symbol
_atom_site_fract_x
_atom_site_fract_y
_atom_site_fract_z
_atom_site_occupancy
Pd1 Pd 0.2500 0.2500 0.2500 1
Pd2 Pd 0.7500 0.7500 0.7500 1
C1 C 0.0000 0.0000 0.0000 1
# SG	No. 225
# crystal system	cubic
# theoretical density	9.73	g/cm³



Entry x
# Pd2C PBE relaxed
data_Pd2C
_chemical_formula_sum 'Pd4 C2'
_cell_length_a 5.0946
_cell_length_b 5.0946
_cell_length_c 5.0946
_cell_angle_alpha 60.00
_cell_angle_beta 60.00
_cell_angle_gamma 60.00
_symmetry_space_group_name_H-M 'P 1'
_symmetry_Int_Tables_number 1
_symmetry_space_group_name_Hall 'P 1'
loop_
_atom_site_label
_atom_site_type_symbol
_atom_site_fract_x
_atom_site_fract_y
_atom_site_fract_z
_atom_site_occupancy
Pd1 Pd 0.6250 0.6250 0.6250 1
Pd2 Pd 0.6250 0.6250 0.1250 1
Pd3 Pd 0.1250 0.6250 0.6250 1
Pd4 Pd 0.6250 0.1250 0.6250 1
C1 C 0.0000 0.0000 0.0000 1
C2 C 0.2500 0.2500 0.2500 1
# SG	No. 227
# crystal system	cubic
# theoretical density	7.99	g/cm³



Which is most stable? The ranking, best first, is entry w, entry x.



Entry w
# PdC8 PBE relaxed
data_PdC8
_chemical_formula_sum 'Pd2 C16'
_cell_length_a 9.6603
_cell_length_b 9.0001
_cell_length_c 4.9651
_cell_angle_alpha 82.07
_cell_angle_beta 67.33
_cell_angle_gamma 30.60
_symmetry_space_group_name_H-M 'P 1'
_symmetry_Int_Tables_number 1
_symmetry_space_group_name_Hall 'P 1'
loop_
_atom_site_label
_atom_site_type_symbol
_atom_site_fract_x
_atom_site_fract_y
_atom_site_fract_z
_atom_site_occupancy
C1 C 0.4574 0.7899 0.7096 1
C2 C 0.5404 0.2069 0.7926 1
C3 C 0.2926 0.9577 0.5409 1
C4 C 0.9574 0.2923 0.7091 1
C5 C 0.9577 0.2926 0.2088 1
C6 C 0.2088 0.5409 0.9577 1
C7 C 0.7091 0.0412 0.9574 1
C8 C 0.2069 0.5404 0.4601 1
C9 C 0.5409 0.2088 0.2926 1
C10 C 0.0412 0.7091 0.2923 1
C11 C 0.2923 0.9574 0.0412 1
C12 C 0.4601 0.7926 0.2069 1
C13 C 0.7899 0.4574 0.0431 1
C14 C 0.7096 0.0431 0.4574 1
C15 C 0.7926 0.4601 0.5404 1
C16 C 0.0431 0.7096 0.7899 1
Pd1 Pd 0.2500 0.2500 0.2500 1
Pd2 Pd 0.0000 0.0000 0.0000 1
# SG	No. 70
# crystal system	orthorhombic
# theoretical density	3.64	g/cm³



Entry x
# PdC8 PBE relaxed
data_PdC8
_chemical_formula_sum 'Pd1 C8'
_cell_length_a 4.9689
_cell_length_b 4.9689
_cell_length_c 4.3085
_cell_angle_alpha 90.00
_cell_angle_beta 90.00
_cell_angle_gamma 120.00
_symmetry_space_group_name_H-M 'P 1'
_symmetry_Int_Tables_number 1
_symmetry_space_group_name_Hall 'P 1'
loop_
_atom_site_label
_atom_site_type_symbol
_atom_site_fract_x
_atom_site_fract_y
_atom_site_fract_z
_atom_site_occupancy
C1 C 0.3333 0.6667 0.0000 1
C2 C 0.8323 0.1677 0.0000 1
C3 C 0.1677 0.8323 0.0000 1
C4 C 0.3353 0.1677 0.0000 1
C5 C 0.8323 0.6647 0.0000 1
C6 C 0.1677 0.3353 0.0000 1
C7 C 0.6647 0.8323 0.0000 1
C8 C 0.6667 0.3333 0.0000 1
Pd1 Pd 0.0000 0.0000 0.5000 1
# SG	No. 191
# crystal system	hexagonal
# theoretical density	3.65	g/cm³



Which is most stable? The ranking, best first, is entry w, entry x.



Entry w
# Pm2C PBE relaxed
data_Pm2C
_chemical_formula_sum 'Pm2 C1'
_cell_length_a 3.6494
_cell_length_b 3.6494
_cell_length_c 6.5941
_cell_angle_alpha 91.06
_cell_angle_beta 91.06
_cell_angle_gamma 59.98
_symmetry_space_group_name_H-M 'P 1'
_symmetry_Int_Tables_number 1
_symmetry_space_group_name_Hall 'P 1'
loop_
_atom_site_label
_atom_site_type_symbol
_atom_site_fract_x
_atom_site_fract_y
_atom_site_fract_z
_atom_site_occupancy
Pm1 Pm 0.3379 0.3379 0.2124 1
Pm2 Pm 0.6621 0.6621 0.7876 1
C1 C 0.0000 0.0000 0.0000 1
# SG	No. 12
# crystal system	monoclinic
# theoretical density	6.60	g/cm³



Entry x
# Pm2C PBE relaxed
data_Pm2C
_chemical_formula_sum 'Pm4 C2'
_cell_length_a 7.7419
_cell_length_b 7.7419
_cell_length_c 7.7419
_cell_angle_alpha 60.00
_cell_angle_beta 60.00
_cell_angle_gamma 60.00
_symmetry_space_group_name_H-M 'P 1'
_symmetry_Int_Tables_number 1
_symmetry_space_group_name_Hall 'P 1'
loop_
_atom_site_label
_atom_site_type_symbol
_atom_site_fract_x
_atom_site_fract_y
_atom_site_fract_z
_atom_site_occupancy
C1 C 0.1250 0.1250 0.1250 1
C2 C 0.8750 0.8750 0.8750 1
Pm1 Pm 0.5000 0.0000 0.0000 1
Pm2 Pm 0.0000 0.0000 0.5000 1
Pm3 Pm 0.0000 0.0000 0.0000 1
Pm4 Pm 0.0000 0.5000 0.0000 1
# SG	No. 227
# crystal system	cubic
# theoretical density	3.06	g/cm³



Which is most stable? The ranking, best first, is entry w, entry x.